Entry 1:
A plane-wave DFT calculation with PBE-GGA was carried out for an optimized crystal structure of Ho4Sn2PtC.

The space group is P-3m1 (No. 164) and the conventional cell measures 3.6684, 3.6684 and 16.5721 Å, with angles of 90.00, 90.00 and 120.00 degrees. Symmetry generates all atoms from Ho at (0.3333, 0.6667, 0.1108), Ho at (0.3333, 0.6667, 0.4205), Sn at (0.3333, 0.6667, 0.7355), Pt at (0.0000, 0.0000, 0.0000) and C at (0.0000, 0.0000, 0.5000).

The magnetic moment is 0.0 μB per formula unit. As for the energy: -5.871 eV per atom.

Entry 2:
A plane-wave DFT calculation with PBE-GGA was carried out for an optimized crystal structure of Ho2Sn2PtC3.

The space group is P3m1 (No. 156) and the conventional cell measures 3.6701, 3.6701 and 12.1813 Å, with angles of 90.00, 90.00 and 120.00 degrees. Symmetry generates all atoms from Ho at (0.0000, 0.0000, 0.0000), Ho at (0.3333, 0.6667, 0.5686), Sn at (0.6667, 0.3333, 0.2164), Sn at (0.6667, 0.3333, 0.7807), Pt at (0.0000, 0.0000, 0.3547), C at (0.0000, 0.0000, 0.5132), C at (0.3333, 0.6667, 0.1040) and C at (0.3333, 0.6667, 0.8679).

The magnetic moment is 0.0 μB per formula unit. As for the energy: -6.035 eV per atom.

Entry 3:
A plane-wave DFT calculation with PBE-GGA was carried out for an optimized crystal structure of TbHoRe2Si2C.

The space group is Cm (No. 8) and the conventional cell measures 10.9035, 3.9863 and 6.9309 Å, with angles of 90.00, 127.21 and 90.00 degrees. Symmetry generates all atoms from Tb at (0.0000, 0.0000, 0.0000), Ho at (0.1458, 0.0000, 0.5985), Re at (0.2813, 0.5000, 0.3916), Re at (0.3656, 0.0000, 0.2087), Si at (0.2144, 0.5000, 0.9794), Si at (0.4316, 0.0000, 0.6197) and C at (0.0739, 0.5000, 0.3021).

The magnetic moment is 0.0 μB per formula unit. As for the energy: -8.341 eV per atom.

Entry 4:
A plane-wave DFT calculation with PBE-GGA was carried out for an optimized crystal structure of HoSc3C2S2.

The space group is P3m1 (No. 156) and the conventional cell measures 3.5103, 3.5103 and 12.1762 Å, with angles of 90.00, 90.00 and 120.00 degrees. Symmetry generates all atoms from Ho at (0.0000, 0.0000, 0.0000), Sc at (0.0000, 0.0000, 0.6990), Sc at (0.3333, 0.6667, 0.2122), Sc at (0.3333, 0.6667, 0.4994), C at (0.6667, 0.3333, 0.1111), C at (0.6667, 0.3333, 0.5988), S at (0.0000, 0.0000, 0.3555) and S at (0.3333, 0.6667, 0.8415).

The magnetic moment is 0.0 μB per formula unit. As for the energy: -7.569 eV per atom.

Entry 5:
A plane-wave DFT calculation with PBE-GGA was carried out for an optimized crystal structure of Ho3ScC2S2.

The space group is P3m1 (No. 156) and the conventional cell measures 3.6295, 3.6295 and 12.6155 Å, with angles of 90.00, 90.00 and 120.00 degrees. Symmetry generates all atoms from Ho at (0.0000, 0.0000, 0.0000), Ho at (0.0000, 0.0000, 0.2985), Ho at (0.3333, 0.6667, 0.7869), Sc at (0.3333, 0.6667, 0.4998), C at (0.6667, 0.3333, 0.4033), C at (0.6667, 0.3333, 0.8933), S at (0.0000, 0.0000, 0.6356) and S at (0.3333, 0.6667, 0.1488).

The magnetic moment is 0.0 μB per formula unit. As for the energy: -7.111 eV per atom.

Entry 6:
A plane-wave DFT calculation with PBE-GGA was carried out for an optimized crystal structure of Ho4C2SeS.

The space group is P-6m2 (No. 187) and the conventional cell measures 3.7108, 3.7108 and 13.0212 Å, with angles of 90.00, 90.00 and 120.00 degrees. Symmetry generates all atoms from Ho at (0.0000, 0.0000, 0.1434), Ho at (0.6667, 0.3333, 0.3471), C at (0.3333, 0.6667, 0.2455), Se at (0.0000, 0.0000, 0.5000) and S at (0.6667, 0.3333, 0.0000).

The magnetic moment is 0.0 μB per formula unit. As for the energy: -6.764 eV per atom.